Entry 1:
Here is Ba2ScOsSe6 after structural relaxation from OQMD via LeMat-Bulk. Energies are from PBE-GGA.

Structure (POSCAR):
```
Ba2ScOsSe6
1.0
-2.1736 -6.2535 -2.8606
4.1479 -3.3891 -4.8309
3.3394 -6.1380 1.7929
Ba Os Sc Se
2 1 1 6
direct
0.7499 0.2500 0.2501
0.2501 0.7500 0.7499
0.5000 0.0000 0.0000
0.0000 0.5000 0.5000
0.7478 0.7534 0.2402
0.2590 0.7531 0.2419
0.2567 0.2383 0.2496
0.7433 0.7617 0.7504
0.7410 0.2469 0.7581
0.2522 0.2466 0.7598
```

***

Entry 2:
Here is Ba2ScOsSe6 after structural relaxation from OQMD via LeMat-Bulk. Energies are from PBE-GGA.

Structure (POSCAR):
```
Ba2ScOsSe6
1.0
3.3555 1.0845 6.2921
2.9322 6.4256 1.4631
-2.9814 4.2732 4.9877
Ba Os Sc Se
2 1 1 6
direct
0.2500 0.2500 0.2500
0.7500 0.7500 0.7500
0.0000 0.0000 0.0000
0.5000 0.5000 0.5000
0.7563 0.2437 0.2437
0.2437 0.7563 0.2437
0.7563 0.7563 0.2437
0.7563 0.2437 0.7563
0.2437 0.2437 0.7563
0.2437 0.7563 0.7563
```

***

Entry 3:
Here is Ba2ScOsSe6 after structural relaxation from OQMD via LeMat-Bulk. Energies are from PBE-GGA.

Structure (POSCAR):
```
Ba2ScOsSe6
1.0
-3.6066 3.6066 5.1031
3.6066 -3.6066 5.1031
3.6066 3.6066 -5.1031
Ba Os Sc Se
2 1 1 6
direct
0.7500 0.2500 0.5000
0.2500 0.7500 0.5000
0.0000 0.0000 0.0000
0.5000 0.5000 0.0000
0.2439 0.2439 0.0000
0.7561 0.7561 0.0000
0.2516 0.7637 0.0153
0.2363 0.2516 0.4879
0.7637 0.7484 0.5121
0.7484 0.2363 0.9847
```

***

Entry 4:
Here is Ba2SmOsSe6 after structural relaxation from OQMD via LeMat-Bulk. Energies are from PBE-GGA.

Structure (POSCAR):
```
Ba2SmOsSe6
1.0
7.2830 0.0000 0.0000
3.5475 6.3801 0.0000
3.5079 1.9522 6.1871
Ba Os Se Sm
2 1 6 1
direct
0.7488 0.2552 0.2442
0.2512 0.7448 0.7558
0.5000 0.0000 0.0000
0.7893 0.7339 0.1802
0.3084 0.7213 0.2000
0.2762 0.1561 0.3112
0.7238 0.8439 0.6888
0.6916 0.2787 0.8000
0.2107 0.2661 0.8198
0.0000 0.5000 0.5000
```

***

Entry 5:
Here is Ba2SmOsSe6 after structural relaxation from OQMD via LeMat-Bulk. Energies are from PBE-GGA.

Structure (POSCAR):
```
Ba2SmOsSe6
1.0
-2.1350 6.1445 -3.4032
-5.3802 -0.1480 -4.9927
-1.6062 -1.0464 7.4215
Ba Os Se Sm
2 1 6 1
direct
0.2457 0.2457 0.2399
0.7543 0.7543 0.7601
0.5000 0.5000 0.0000
0.6948 0.2162 0.1865
0.2162 0.6948 0.1865
0.7328 0.7328 0.3121
0.2672 0.2672 0.6879
0.7839 0.3052 0.8135
0.3052 0.7839 0.8135
0.0000 0.0000 0.5000
```

***

Entry 6:
Here is Ba2SnOsSe6 after structural relaxation from OQMD via LeMat-Bulk. Energies are from PBE-GGA.

Structure (POSCAR):
```
Ba2SnOsSe6
1.0
7.3877 0.0000 0.0000
0.0000 7.2347 0.0000
-7.2503 0.0000 10.3537
Ba Os Se Sn
4 2 12 2
direct
0.2298 0.0888 0.2496
0.7702 0.5888 0.2504
0.2298 0.4112 0.7496
0.7702 0.9112 0.7504
0.0000 0.5000 0.0000
0.0000 0.0000 0.5000
0.8543 0.7980 0.0338
0.7588 0.3154 0.0454
0.3193 0.5326 0.2343
0.6807 0.0326 0.2657
0.2412 0.8154 0.4546
0.1457 0.2980 0.4662
0.8543 0.7020 0.5338
0.7588 0.1846 0.5454
0.3193 0.9674 0.7343
0.6807 0.4674 0.7657
0.2412 0.6846 0.9546
0.1457 0.2020 0.9662
0.5000 0.0000 0.0000
0.5000 0.5000 0.5000
```

***

Entry 7:
Here is Ba2YOsSe6 after structural relaxation from OQMD via LeMat-Bulk. Energies are from PBE-GGA.

Structure (POSCAR):
```
Ba2YOsSe6
1.0
6.7839 1.2876 -2.5814
2.2242 1.8774 6.7728
-3.2029 -6.5394 -1.1490
Ba Os Se Y
2 1 6 1
direct
0.7500 0.2500 0.5000
0.2500 0.7500 0.5000
0.0000 0.0000 0.0000
0.2379 0.2379 0.0000
0.7621 0.7621 0.0000
0.7709 0.2467 0.0176
0.2467 0.2291 0.4759
0.7533 0.7709 0.5241
0.2291 0.7533 0.9824
0.5000 0.5000 0.0000
```

***

Entry 8:
Here is Ba2YOsSe6 after structural relaxation from OQMD via LeMat-Bulk. Energies are from PBE-GGA.

Structure (POSCAR):
```
Ba2YOsSe6
1.0
0.0000 5.2118 5.2118
5.2118 0.0000 5.2118
5.2118 5.2118 0.0000
Ba Os Se Y
2 1 6 1
direct
0.2500 0.2500 0.2500
0.7500 0.7500 0.7500
0.0000 0.0000 0.0000
0.7620 0.2380 0.2380
0.2380 0.7620 0.2380
0.7620 0.7620 0.2380
0.2380 0.2380 0.7620
0.7620 0.2380 0.7620
0.2380 0.7620 0.7620
0.5000 0.5000 0.5000
```

***

Entry 9:
Here is Ba2YOsSe6 after structural relaxation from OQMD via LeMat-Bulk. Energies are from PBE-GGA.

Structure (POSCAR):
```
Ba2YOsSe6
1.0
3.4439 1.5458 -6.2233
-3.6713 0.4557 -6.2685
-0.8554 5.3622 5.3411
Ba Os Se Y
2 1 6 1
direct
0.7458 0.7458 0.2420
0.2542 0.2542 0.7580
0.0000 0.0000 0.0000
0.7151 0.1974 0.1896
0.1974 0.7151 0.1896
0.2352 0.2352 0.3128
0.7648 0.7648 0.6872
0.8026 0.2849 0.8104
0.2849 0.8026 0.8104
0.5000 0.5000 0.5000
```

***

Entry 10:
Here is Ba2YOsSe6 after structural relaxation from OQMD via LeMat-Bulk. Energies are from PBE-GGA.

Structure (POSCAR):
```
Ba2YOsSe6
1.0
7.2340 0.0000 0.0000
3.5594 6.3491 0.0000
3.4923 1.9350 6.1213
Ba Os Se Y
2 1 6 1
direct
0.7479 0.2563 0.2465
0.2521 0.7437 0.7535
0.5000 0.0000 0.0000
0.7899 0.7307 0.1839
0.3022 0.7238 0.2047
0.2751 0.1617 0.3114
0.7249 0.8383 0.6886
0.6978 0.2762 0.7953
0.2101 0.2693 0.8161
0.0000 0.5000 0.5000
```

***

Entry 11:
Here is BaSrSi4Os2 after structural relaxation from OQMD via LeMat-Bulk. Energies are from PBE-GGA.

Structure (POSCAR):
```
BaSrSi4Os2
1.0
-1.7366 4.2927 -0.8895
-2.1709 -0.1331 3.5961
7.0598 1.6199 4.3219
Ba Os Si Sr
1 2 4 1
direct
0.4178 0.0000 0.3088
0.8754 0.5000 0.1052
0.1222 0.0000 0.8891
0.3263 0.5000 0.0013
0.9600 0.5000 0.4053
0.0411 0.0000 0.5997
0.6719 0.0000 0.9931
0.5854 0.5000 0.6975
```

***

Entry 12:
Here is BaYSi4Os2 after structural relaxation from OQMD via LeMat-Bulk. Energies are from PBE-GGA.

Structure (POSCAR):
```
BaYSi4Os2
1.0
4.6102 0.0000 0.0000
0.0000 4.1278 0.0000
-1.7830 0.0000 8.2118
Ba Os Si Y
1 2 4 1
direct
0.4195 0.0000 0.3067
0.8745 0.5000 0.1040
0.1185 0.0000 0.8819
0.3294 0.5000 0.0006
0.9670 0.5000 0.4141
0.0377 0.0000 0.5969
0.6654 0.0000 0.9864
0.5881 0.5000 0.7093
```

***

Entry 13:
Here is BaSmOs after structural relaxation from OQMD via LeMat-Bulk. Energies are from PBE-GGA.

Structure (POSCAR):
```
BaSmOs
1.0
1.0174 -4.2190 -2.5661
-3.4060 -3.7120 -0.2004
-2.4193 -0.9711 -4.3155
Ba Os Sm
1 1 1
direct
0.2500 0.2500 0.2500
0.0000 0.0000 0.0000
0.7500 0.7500 0.7500
```

***

Entry 14:
Here is BaSnOs after structural relaxation from OQMD via LeMat-Bulk. Energies are from PBE-GGA.

Structure (POSCAR):
```
BaSnOs
1.0
-2.7777 -4.0721 -0.0624
-2.1484 -1.5820 4.1453
-4.8893 0.3431 0.5282
Ba Os Sn
1 1 1
direct
0.2500 0.2500 0.2500
0.0000 0.0000 0.0000
0.7500 0.7500 0.7500
```

***

Entry 15:
Here is BaSnOs after structural relaxation from OQMD via LeMat-Bulk. Energies are from PBE-GGA.

Structure (POSCAR):
```
BaSnOs
1.0
0.0000 3.6519 3.6519
3.6519 0.0000 3.6519
3.6519 3.6519 0.0000
Ba Os Sn
1 1 1
direct
0.0000 0.0000 0.0000
0.2500 0.2500 0.2500
0.7500 0.7500 0.7500
```

***

Entry 16:
Here is Ba3Sn2Os2 after structural relaxation from OQMD via LeMat-Bulk. Energies are from PBE-GGA.

Structure (POSCAR):
```
Ba3Sn2Os2
1.0
-2.3583 2.6125 9.5596
2.3583 -2.6125 9.5596
2.3583 2.6125 -9.5596
Ba Os Sn
3 2 2
direct
0.0000 0.0000 0.0000
0.8215 0.3215 0.5000
0.1785 0.6785 0.5000
0.4393 0.4393 0.0000
0.5607 0.5607 0.0000
0.6255 0.1255 0.5000
0.3745 0.8745 0.5000
```

***

Entry 17:
Here is BaTbOs after structural relaxation from OQMD via LeMat-Bulk. Energies are from PBE-GGA.

Structure (POSCAR):
```
BaTbOs
1.0
0.0000 3.4634 3.4634
3.4634 0.0000 3.4634
3.4634 3.4634 0.0000
Ba Os Tb
1 1 1
direct
0.0000 0.0000 0.0000
0.2500 0.2500 0.2500
0.7500 0.7500 0.7500
```

***

Entry 18:
Here is BaTbOs after structural relaxation from OQMD via LeMat-Bulk. Energies are from PBE-GGA.

Structure (POSCAR):
```
BaTbOs
1.0
-2.0497 -4.5490 -0.3038
-3.5378 -0.9247 -3.4082
1.0087 -2.9394 -3.9153
Ba Os Tb
1 1 1
direct
0.2500 0.2500 0.2500
0.0000 0.0000 0.0000
0.7500 0.7500 0.7500
```

***

Entry 19:
Here is BaTcOs2 after structural relaxation from OQMD via LeMat-Bulk. Energies are from PBE-GGA.

Structure (POSCAR):
```
BaTcOs2
1.0
2.3504 1.3570 3.8381
-2.3504 1.3570 3.8381
0.0000 -2.7140 3.8381
Ba Os Tc
1 2 1
direct
0.2500 0.2500 0.2500
0.5000 0.5000 0.5000
0.7500 0.7500 0.7500
0.0000 0.0000 0.0000
```

***

Entry 20:
Here is BaTeOs after structural relaxation from OQMD via LeMat-Bulk. Energies are from PBE-GGA.

Structure (POSCAR):
```
BaTeOs
1.0
4.2773 -2.2936 0.9460
3.3360 2.1172 2.9731
0.8557 -1.8818 4.4919
Ba Os Te
1 1 1
direct
0.2500 0.2500 0.2500
0.0000 0.0000 0.0000
0.7500 0.7500 0.7500
```

***

The records above yield energy values of -5.298 -5.301 -5.301 -5.194 -5.196 -4.782 -5.345 -5.344 -5.374 -5.372 -6.360 -7.070 -5.552 -5.152 -4.074 -5.241 -4.510 -5.514 -7.204 -4.927 eV per atom, respectively.
The records above yield spin magnetization values of 2.13 0.03 0.10 2.89 2.90 0.10 2.93 2.90 2.87 2.85 0.01 0.01 0.00 0.00 0.55 0.01 0.00 0.01 1.31 0.77 μB/f.u., respectively.